1.
Here is an optimized crystal structure of YRu2Au2 from the Alexandria database. Energies are from PBE.

Lattice parameters (Å, degrees): 7.3313 7.3313 7.3313 150.43 150.43 42.31
Fractional positions:
Y: 0.0000 0.0000 0.0000
Ru: 0.2500 0.7500 0.5000
Ru: 0.7500 0.2500 0.5000
Au: 0.3992 0.3992 0.0000
Au: 0.6008 0.6008 0.0000

Summary:
Final energy: -6.33 eV per atom
Calculated formation energy: -14 meV per atom


2.
Here is an optimized crystal structure of Y4RuAu3 from the Alexandria database. Energies are from PBE.

Lattice parameters (Å, degrees): 3.5304 3.5304 14.4737 90.00 90.00 90.00
Fractional positions:
Y: 0.0000 0.0000 0.1148
Y: 0.0000 0.0000 0.3712
Y: 0.0000 0.0000 0.6288
Y: 0.0000 0.0000 0.8852
Ru: 0.5000 0.5000 0.0000
Au: 0.5000 0.5000 0.2457
Au: 0.5000 0.5000 0.5000
Au: 0.5000 0.5000 0.7543

Summary:
Final energy: -6.36 eV per atom
Calculated formation energy: -737 meV per atom


3.
Here is an optimized crystal structure of Y5Ru4Au from the Alexandria database. Energies are from PBE.

Lattice parameters (Å, degrees): 3.4361 3.4361 17.4205 90.00 90.00 90.00
Fractional positions:
Y: 0.0000 0.0000 0.0000
Y: 0.0000 0.0000 0.1931
Y: 0.0000 0.0000 0.3869
Y: 0.0000 0.0000 0.6131
Y: 0.0000 0.0000 0.8069
Ru: 0.5000 0.5000 0.0978
Ru: 0.5000 0.5000 0.2961
Ru: 0.5000 0.5000 0.7039
Ru: 0.5000 0.5000 0.9022
Au: 0.5000 0.5000 0.5000

Summary:
Final energy: -7.70 eV per atom
Calculated formation energy: -433 meV per atom


4.
Here is an optimized crystal structure of YRuAu from the Alexandria database. Energies are from PBE.

Lattice parameters (Å, degrees): 4.6026 4.6026 4.6026 60.00 60.00 60.00
Fractional positions:
Y: 0.0000 0.0000 0.0000
Ru: 0.2500 0.2500 0.2500
Au: 0.7500 0.7500 0.7500

Summary:
Final energy: -5.96 eV per atom
Energy relative to the lowest polymorph listed for this composition: 630 meV per atom
Calculated formation energy: 380 meV per atom


5.
Here is an optimized crystal structure of Y5Ru2Au from the Alexandria database. Energies are from PBE.

Lattice parameters (Å, degrees): 8.5990 8.5990 8.5990 127.07 127.07 78.14
Fractional positions:
Y: 0.0000 0.0000 0.0000
Y: 0.0255 0.5255 0.8242
Y: 0.2012 0.0255 0.5000
Y: 0.2988 0.7988 0.8242
Y: 0.4745 0.2988 0.5000
Y: 0.5000 0.5000 0.0000
Y: 0.5255 0.7012 0.5000
Y: 0.7012 0.2012 0.1758
Y: 0.7988 0.9745 0.5000
Y: 0.9745 0.4745 0.1758
Ru: 0.1391 0.3609 0.5000
Ru: 0.3609 0.8609 0.2219
Ru: 0.6391 0.1391 0.7781
Ru: 0.8609 0.6391 0.5000
Au: 0.2500 0.2500 0.0000
Au: 0.7500 0.7500 0.0000

Summary:
Final energy: -7.25 eV per atom
Calculated formation energy: -481 meV per atom


6.
Here is an optimized crystal structure of Y2RuAu from the Alexandria database. Energies are from PBE.

Lattice parameters (Å, degrees): 6.1439 6.1439 6.1439 147.22 134.56 57.15
Fractional positions:
Y: 0.0000 0.0000 0.0000
Y: 0.7109 0.2109 0.5000
Ru: 0.4876 0.4876 0.0000
Au: 0.2794 0.7794 0.5000

Summary:
Final energy: -6.74 eV per atom
Calculated formation energy: -368 meV per atom


7.
Here is an optimized crystal structure of YRuAu from the Alexandria database. Energies are from PBE.

Lattice parameters (Å, degrees): 3.3357 3.3357 6.4499 90.00 90.00 120.00
Fractional positions:
Y: 0.0000 0.0000 0.0000
Ru: 0.3333 0.6667 0.6900
Au: 0.6667 0.3333 0.3634

Summary:
Final energy: -6.17 eV per atom
Energy relative to the lowest polymorph listed for this composition: 422 meV per atom
Calculated formation energy: 172 meV per atom


8.
Here is an optimized crystal structure of Y4Ru2Au from the Alexandria database. Energies are from PBE.

Lattice parameters (Å, degrees): 8.3849 8.3849 8.3849 33.90 33.90 33.90
Fractional positions:
Y: 0.1200 0.1200 0.1200
Y: 0.3712 0.3712 0.3712
Y: 0.6288 0.6288 0.6288
Y: 0.8800 0.8800 0.8800
Ru: 0.2483 0.2483 0.2483
Ru: 0.7517 0.7517 0.7517
Au: 0.5000 0.5000 0.5000

Summary:
Final energy: -7.25 eV per atom
Calculated formation energy: -442 meV per atom


Please write out number 6 again, unchanged.
Here is an optimized crystal structure of Y2RuAu from the Alexandria database. Energies are from PBE.

Lattice parameters (Å, degrees): 6.1439 6.1439 6.1439 147.22 134.56 57.15
Fractional positions:
Y: 0.0000 0.0000 0.0000
Y: 0.7109 0.2109 0.5000
Ru: 0.4876 0.4876 0.0000
Au: 0.2794 0.7794 0.5000

Summary:
Final energy: -6.74 eV per atom
Calculated formation energy: -368 meV per atom